# PBE LiTlCuW, optimized geometry
data_LiTlCuW
_chemical_formula_sum 'Li4 Tl4 Cu4 W4'
_space_group_name_H-M_alt 'F -4 3 m'
_space_group_IT_number 216
_space_group_name_Hall 'F -4 2 3'
_cell_length_a 6.353
_cell_length_b 6.353
_cell_length_c 6.353
_cell_angle_alpha 90.00
_cell_angle_beta 90.00
_cell_angle_gamma 90.00
loop_
_atom_site_label
_atom_site_type_symbol
_atom_site_fract_x
_atom_site_fract_y
_atom_site_fract_z
Li1 Li 0.000 0.000 0.000
Tl1 Tl 0.250 0.250 0.250
Cu1 Cu 0.000 0.000 0.500
W1 W 0.250 0.250 0.750
# Energy above the most stable polymorph in this dataset: 0.00 eV per formula unit

---

# PBE LiTlCuW, optimized geometry
data_LiTlCuW
_chemical_formula_sum 'Li4 Tl4 Cu4 W4'
_space_group_name_H-M_alt 'F -4 3 m'
_space_group_IT_number 216
_space_group_name_Hall 'F -4 2 3'
_cell_length_a 6.455
_cell_length_b 6.455
_cell_length_c 6.455
_cell_angle_alpha 90.00
_cell_angle_beta 90.00
_cell_angle_gamma 90.00
loop_
_atom_site_label
_atom_site_type_symbol
_atom_site_fract_x
_atom_site_fract_y
_atom_site_fract_z
Li1 Li 0.000 0.000 0.000
Tl1 Tl 0.000 0.000 0.500
Cu1 Cu 0.250 0.250 0.750
W1 W 0.250 0.250 0.250
# Energy above the most stable polymorph in this dataset: 0.54 eV per formula unit

---

# PBE LiTlZnCu, optimized geometry
data_LiTlZnCu
_chemical_formula_sum 'Li4 Tl4 Zn4 Cu4'
_space_group_name_H-M_alt 'F -4 3 m'
_space_group_IT_number 216
_space_group_name_Hall 'F -4 2 3'
_cell_length_a 6.357
_cell_length_b 6.357
_cell_length_c 6.357
_cell_angle_alpha 90.00
_cell_angle_beta 90.00
_cell_angle_gamma 90.00
loop_
_atom_site_label
_atom_site_type_symbol
_atom_site_fract_x
_atom_site_fract_y
_atom_site_fract_z
Li1 Li 0.000 0.000 0.000
Tl1 Tl 0.250 0.250 0.250
Zn1 Zn 0.250 0.250 0.750
Cu1 Cu 0.000 0.000 0.500
# Energy above the most stable polymorph in this dataset: 0.00 eV per formula unit

---

# PBE LiZrTlCu, optimized geometry
data_LiZrTlCu
_chemical_formula_sum 'Li4 Zr4 Tl4 Cu4'
_space_group_name_H-M_alt 'F -4 3 m'
_space_group_IT_number 216
_space_group_name_Hall 'F -4 2 3'
_cell_length_a 6.474
_cell_length_b 6.474
_cell_length_c 6.474
_cell_angle_alpha 90.00
_cell_angle_beta 90.00
_cell_angle_gamma 90.00
loop_
_atom_site_label
_atom_site_type_symbol
_atom_site_fract_x
_atom_site_fract_y
_atom_site_fract_z
Li1 Li 0.000 0.000 0.000
Zr1 Zr 0.250 0.250 0.750
Tl1 Tl 0.250 0.250 0.250
Cu1 Cu 0.000 0.000 0.500
# Energy above the most stable polymorph in this dataset: 0.00 eV per formula unit